Record 1
VASP calculation (SCAN) on a crystal of LaCoCl2 relaxed with PBEsol.

a = 3.8570 Å, b = 3.8570 Å, c = 5.8304 Å
α = 90.00°, β = 90.00°, γ = 90.00°
Fractional positions:
1 La 0.0000 0.0000 0.0000
2 Co 0.5000 0.5000 0.8027
3 Cl 0.0000 0.0000 0.5282
4 Cl 0.5000 0.5000 0.1656

Properties
Its formation energy (no corrections) is -0.9170 eV/atom. Its relative energy among the computed polymorphs is 0.206 eV per atom.

Record 2
VASP calculation (SCAN) on a crystal of ZnAgAs2Br relaxed with PBEsol.

a = 4.9530 Å, b = 4.9530 Å, c = 5.1958 Å
α = 90.00°, β = 90.00°, γ = 90.00°
Fractional positions:
1 Zn 0.0000 0.0000 0.0000
2 Ag 0.5000 0.5000 0.5000
3 As 0.0000 0.5000 0.5000
4 As 0.5000 0.0000 0.5000
5 Br 0.5000 0.5000 0.0000

Properties
Its formation energy (no corrections) is 0.8223 eV/atom.

Record 3
VASP calculation (SCAN) on a crystal of AsOsAu3 relaxed with PBEsol.

a = 4.8983 Å, b = 4.8983 Å, c = 4.8983 Å
α = 90.00°, β = 90.00°, γ = 90.00°
Fractional positions:
1 As 0.0000 0.0000 0.0000
2 Os 0.5000 0.5000 0.5000
3 Au 0.0000 0.5000 0.5000
4 Au 0.5000 0.0000 0.5000
5 Au 0.5000 0.5000 0.0000

Properties
Its relative energy among the computed polymorphs is 0.106 eV per atom.

Record 4
VASP calculation (SCAN) on a crystal of LiRhAu2 relaxed with PBEsol.

a = 2.7802 Å, b = 4.6493 Å, c = 4.6525 Å
α = 90.00°, β = 90.00°, γ = 90.00°
Fractional positions:
1 Li 0.0000 0.0000 0.0000
2 Rh 0.0000 0.5000 0.5185
3 Au 0.5000 0.0000 0.5029
4 Au 0.5000 0.5000 0.0193

Record 5
VASP calculation (SCAN) on a crystal of MgAlRe2 relaxed with PBEsol.

a = 2.6523 Å, b = 4.2048 Å, c = 5.4164 Å
α = 90.00°, β = 90.00°, γ = 90.00°
Fractional positions:
1 Mg 0.0000 0.0000 0.0000
2 Al 0.0000 0.0000 0.5000
3 Re 0.5000 0.5000 0.2621
4 Re 0.5000 0.5000 0.7379

Properties
Its relative energy among the computed polymorphs is 0.041 eV per atom.

Record 6
VASP calculation (SCAN) on a crystal of CdAg2Te relaxed with PBEsol.

a = 2.9998 Å, b = 4.1835 Å, c = 6.7662 Å
α = 90.00°, β = 90.00°, γ = 90.00°
Fractional positions:
1 Cd 0.0000 0.0000 0.0000
2 Ag 0.5000 0.5000 0.2037
3 Ag 0.5000 0.5000 0.7963
4 Te 0.5000 0.0000 0.5000

Properties
Its formation energy (no corrections) is 0.0009 eV/atom. Its relative energy among the computed polymorphs is 0.000 eV per atom.

Record 7
VASP calculation (SCAN) on a crystal of TcSb2Pb relaxed with PBEsol.

a = 9.9055 Å, b = 9.9055 Å, c = 9.9055 Å
α = 19.25°, β = 19.25°, γ = 19.25°
Fractional positions:
1 Tc 0.0000 0.0000 0.0000
2 Sb 0.2677 0.2677 0.2677
3 Sb 0.7323 0.7323 0.7323
4 Pb 0.5000 0.5000 0.5000

Properties
Its formation energy (no corrections) is 0.0783 eV/atom.

Record 8
VASP calculation (SCAN) on a crystal of SiP2O7 relaxed with PBEsol.

a = 4.7388 Å, b = 4.7388 Å, c = 12.0502 Å
α = 90.00°, β = 90.00°, γ = 120.00°
Fractional positions:
1 Si 0.0000 0.0000 0.0000
2 Si 0.0000 0.0000 0.5000
3 P 0.3333 0.6667 0.1198
4 P 0.3333 0.6667 0.3802
5 P 0.6667 0.3333 0.6198
6 P 0.6667 0.3333 0.8802
7 O 0.0639 0.3292 0.0861
8 O 0.0639 0.3292 0.4139
9 O 0.2653 0.9361 0.0861
10 O 0.2653 0.9361 0.4139
11 O 0.3292 0.2653 0.5861
12 O 0.3292 0.2653 0.9139
13 O 0.3333 0.6667 0.2500
14 O 0.6667 0.3333 0.7500
15 O 0.6708 0.7347 0.0861
16 O 0.6708 0.7347 0.4139
17 O 0.7347 0.0639 0.5861
18 O 0.7347 0.0639 0.9139
19 O 0.9361 0.6708 0.5861
20 O 0.9361 0.6708 0.9139

Properties
Its formation energy (no corrections) is -2.5698 eV/atom. Its relative energy among the computed polymorphs is 0.000 eV per atom.

Record 9
VASP calculation (SCAN) on a crystal of LiSmP4O12 relaxed with PBEsol.

a = 8.9134 Å, b = 8.9134 Å, c = 9.7007 Å
α = 122.93°, β = 122.93°, γ = 46.50°
Fractional positions:
1 Li 0.2048 0.7952 0.7500
2 Li 0.7952 0.2048 0.2500
3 Sm 0.2949 0.7051 0.2500
4 Sm 0.7051 0.2949 0.7500
5 P 0.0834 0.1911 0.1606
6 P 0.1911 0.0834 0.6606
7 P 0.2019 0.5041 0.4037
8 P 0.4959 0.7981 0.0963
9 P 0.5041 0.2019 0.9037
10 P 0.7981 0.4959 0.5963
11 P 0.8089 0.9166 0.3394
12 P 0.9166 0.8089 0.8394
13 O 0.0340 0.2811 0.5817
14 O 0.0612 0.0676 0.2018
15 O 0.0676 0.0612 0.7018
16 O 0.1049 0.6673 0.9541
17 O 0.1652 0.3238 0.3437
18 O 0.2595 0.4843 0.2733
19 O 0.2811 0.0340 0.0817
20 O 0.3238 0.1652 0.8437
21 O 0.3327 0.8951 0.5459
22 O 0.3412 0.5161 0.5850
23 O 0.4843 0.2595 0.7733
24 O 0.4839 0.6588 0.9150
25 O 0.5161 0.3412 0.0850
26 O 0.5157 0.7405 0.2267
27 O 0.6588 0.4839 0.4150
28 O 0.6673 0.1049 0.4541
29 O 0.6762 0.8348 0.1563
30 O 0.7189 0.9660 0.9183
31 O 0.7405 0.5157 0.7267
32 O 0.8348 0.6762 0.6563
33 O 0.8951 0.3327 0.0459
34 O 0.9324 0.9388 0.2982
35 O 0.9388 0.9324 0.7982
36 O 0.9660 0.7189 0.4183

Properties
Its formation energy (no corrections) is -2.7367 eV/atom.

Record 10
VASP calculation (SCAN) on a crystal of LiMnPO4 relaxed with PBEsol.

a = 5.9211 Å, b = 6.5458 Å, c = 9.4698 Å
α = 72.68°, β = 82.42°, γ = 79.50°
Fractional positions:
1 Li 0.0557 0.3134 0.1825
2 Li 0.1029 0.7967 0.2187
3 Li 0.8971 0.2033 0.7813
4 Li 0.9443 0.6866 0.8175
5 Mn 0.2943 0.6440 0.5693
6 Mn 0.4878 0.9302 0.7847
7 Mn 0.5122 0.0698 0.2153
8 Mn 0.7057 0.3560 0.4307
9 P 0.2105 0.1803 0.5131
10 P 0.3317 0.2876 0.8870
11 P 0.6683 0.7124 0.1130
12 P 0.7895 0.8197 0.4869
13 O 0.0364 0.7388 0.4306
14 O 0.1853 0.1249 0.8680
15 O 0.2193 0.1785 0.3500
16 O 0.2344 0.5219 0.7979
17 O 0.2891 0.9478 0.6136
18 O 0.3202 0.2849 0.0521
19 O 0.3745 0.3317 0.5290
20 O 0.4198 0.7867 0.1715
21 O 0.5802 0.2133 0.8285
22 O 0.6255 0.6683 0.4710
23 O 0.6798 0.7151 0.9479
24 O 0.7109 0.0522 0.3864
25 O 0.7656 0.4781 0.2021
26 O 0.7807 0.8215 0.6500
27 O 0.8147 0.8751 0.1320
28 O 0.9636 0.2612 0.5694

Properties
Its formation energy (no corrections) is -2.4362 eV/atom. Its relative energy among the computed polymorphs is 0.051 eV per atom.

Record 11
VASP calculation (SCAN) on a crystal of ZrPdIN2 relaxed with PBEsol.

a = 4.0807 Å, b = 4.0807 Å, c = 4.9871 Å
α = 90.00°, β = 90.00°, γ = 90.00°
Fractional positions:
1 Zr 0.0000 0.0000 0.0000
2 Pd 0.5000 0.5000 0.5000
3 I 0.5000 0.5000 0.0000
4 N 0.0000 0.5000 0.5000
5 N 0.5000 0.0000 0.5000

Properties
Its formation energy (no corrections) is 1.2966 eV/atom.

Record 12
VASP calculation (SCAN) on a crystal of GdTe2 relaxed with PBEsol.

a = 4.3888 Å, b = 4.3888 Å, c = 8.7959 Å
α = 90.00°, β = 90.00°, γ = 90.00°
Fractional positions:
1 Gd 0.2500 0.2500 0.2295
2 Gd 0.7500 0.7500 0.7705
3 Te 0.2500 0.2500 0.8693
4 Te 0.2500 0.7500 0.5000
5 Te 0.7500 0.2500 0.5000
6 Te 0.7500 0.7500 0.1307

Properties
Its formation energy (no corrections) is -1.2939 eV/atom.

no.,Fermi-level density of states (states/eV/cell),energy (eV per atom)
1,1.4,-20.01
2,3.5,-20.12
3,4.4,-58.40
4,1.8,-43.93
5,3.1,-38.55
6,1.1,-32.60
7,1.9,-46.26
8,0.0,-10.01
9,0.0,-11.80
10,0.0,-10.43
11,3.4,-22.46
12,0.8,-45.73